(1)
DFT (GGA-PBE) results for crystalline Sm3HoRh2 at its relaxed geometry.

ΔH_f (0 K) = -0.545 eV per atom

Unit cell a=4.2718 b=8.4600 c=10.5463 alpha=69.85 beta=78.32 gamma=75.38
Atoms (fractional coordinates):
Sm: 0.0528 0.1130 0.7813
Sm: 0.9472 0.8870 0.2187
Sm: 0.6644 0.6969 0.9744
Sm: 0.3356 0.3031 0.0256
Sm: 0.7875 0.8282 0.5968
Sm: 0.2125 0.1718 0.4032
Ho: 0.4268 0.4807 0.6658
Ho: 0.5732 0.5193 0.3342
Rh: 0.8616 0.4367 0.8400
Rh: 0.1384 0.5633 0.1600
Rh: 0.6164 0.1863 0.5808
Rh: 0.3836 0.8137 0.4192

=====

(2)
DFT (GGA-PBE) results for crystalline CeThBiN at its relaxed geometry.

Unit cell a=4.6777 b=4.6777 c=9.2995 alpha=90.00 beta=90.00 gamma=90.00
Site moments in Bohr magnetons follow the coordinates.
Atoms (fractional coordinates):
Ce: 0.0000 0.0000 0.5000  0.78
Ce: 0.5000 0.5000 0.5000  0.78
Th: 0.5000 0.0000 0.8324  0.02
Th: 0.0000 0.5000 0.1676  0.02
Bi: 0.0000 0.5000 0.7980  -0.01
Bi: 0.5000 0.0000 0.2020  -0.01
N: 0.0000 0.5000 0.4075  -0.03
N: 0.5000 0.0000 0.5925  -0.03

=====

(3)
DFT (GGA-PBE) results for crystalline Zn3OF4 at its relaxed geometry.

Unit cell a=5.4014 b=5.8595 c=7.5151 alpha=108.43 beta=90.00 gamma=117.45
Atoms (fractional coordinates):
Zn: 0.6566 0.3025 0.8566
Zn: 0.6459 0.3025 0.3566
Zn: 0.3180 0.6255 0.5922
Zn: 0.3075 0.6255 0.0922
Zn: 0.9146 0.8755 0.8139
Zn: 0.9609 0.8755 0.3139
O: 0.6395 0.9593 0.7391
O: 0.3198 0.9593 0.2391
F: 0.2700 0.2516 0.9389
F: 0.9816 0.2516 0.4389
F: 0.5376 0.4056 0.6354
F: 0.8680 0.4056 0.1354
F: 0.0699 0.6059 0.8355
F: 0.5359 0.6059 0.3355
F: 0.0282 0.7539 0.5384
F: 0.7257 0.7539 0.0384

=====

(4)
DFT (GGA-PBE) results for crystalline CsGa2HgF8 at its relaxed geometry.

Unit cell a=5.8926 b=5.8926 c=8.7307 alpha=70.28 beta=70.28 gamma=60.00
Site moments in Bohr magnetons follow the coordinates.
Atoms (fractional coordinates):
Cs: 0.5000 0.5000 0.5000  0.00
Ga: 0.2525 0.2525 0.2426  0.00
Ga: 0.7475 0.7475 0.7574  0.00
Hg: 0.0000 0.0000 0.0000  0.29
F: 0.1777 0.1777 0.4670  0.00
F: 0.5486 0.3082 0.1784  0.02
F: 0.8223 0.8223 0.5330  0.00
F: 0.9648 0.5486 0.1784  0.02
F: 0.0352 0.4514 0.8216  0.02
F: 0.3082 0.9648 0.1784  0.02
F: 0.6918 0.0352 0.8216  0.02
F: 0.4514 0.6918 0.8216  0.02

=====

(5)
DFT (GGA-PBE) results for crystalline Zr2VH6 at its relaxed geometry.

Offset from the most stable computed form = 0 meV per atom

Unit cell a=3.3024 b=4.4994 c=5.7197 alpha=113.16 beta=106.83 gamma=90.00
Site moments in Bohr magnetons follow the coordinates.
Atoms (fractional coordinates):
Zr: 0.3381 0.3381 0.6762  0.01
Zr: 0.6619 0.6619 0.3238  0.01
V: 0.0000 0.0000 0.0000  0.78
H: 0.8425 0.0733 0.6848  0.00
H: 0.1575 0.3884 0.3152  0.00
H: 0.1575 0.9267 0.3152  0.00
H: 0.5000 0.2180 0.0000  -0.01
H: 0.8425 0.6116 0.6848  0.00
H: 0.5000 0.7820 0.0000  -0.01

=====

(6)
DFT (GGA-PBE) results for crystalline K2MnSi at its relaxed geometry.

Offset from the most stable computed form = 668 meV per atom

Unit cell a=5.6360 b=5.6360 c=5.6360 alpha=60.00 beta=60.00 gamma=60.00
Site moments in Bohr magnetons follow the coordinates.
Atoms (fractional coordinates):
K: 0.2500 0.2500 0.2500  0.00
K: 0.7500 0.7500 0.7500  0.00
Mn: 0.5000 0.5000 0.5000  4.34
Si: 0.0000 0.0000 0.0000  -0.07

=====

(7)
DFT (GGA-PBE) results for crystalline Tb3PmNd8 at its relaxed geometry.

ΔH_f (0 K) = 0.569 eV per atom

Unit cell a=8.5196 b=8.5196 c=8.5197 alpha=93.98 beta=117.73 gamma=117.73
Atoms (fractional coordinates):
Tb: 0.5000 0.7500 0.2500
Tb: 0.5000 0.2500 0.7500
Tb: 0.0000 0.5000 0.5000
Pm: 0.0000 0.0000 0.0000
Nd: 0.5031 0.2559 0.2559
Nd: 0.4969 0.7528 0.7528
Nd: 0.0000 0.7441 0.2472
Nd: 0.0000 0.2472 0.7441
Nd: 0.2483 0.3755 0.3755
Nd: 0.7517 0.1272 0.1272
Nd: 0.0000 0.6245 0.8728
Nd: 0.0000 0.8728 0.6245

=====

(8)
DFT (GGA-PBE) results for crystalline Tb8TlCd2 at its relaxed geometry.

ΔH_f (0 K) = -0.126 eV per atom
Offset from the most stable computed form = 52 meV per atom

Unit cell a=5.2140 b=7.3621 c=9.3864 alpha=107.45 beta=106.13 gamma=90.00
Atoms (fractional coordinates):
Tb: 0.4078 0.5376 0.8156
Tb: 0.6683 0.9566 0.3365
Tb: 0.8069 0.7072 0.6138
Tb: 0.9751 0.2437 0.9501
Tb: 0.1931 0.2928 0.3862
Tb: 0.3317 0.0434 0.6635
Tb: 0.5922 0.4624 0.1844
Tb: 0.0249 0.7563 0.0499
Tl: 0.5000 0.0000 0.0000
Cd: 0.8124 0.3006 0.6248
Cd: 0.1876 0.6994 0.3752

=====

(9)
DFT (GGA-PBE) results for crystalline Si2PtPb at its relaxed geometry.

Unit cell a=3.2711 b=3.2711 c=7.1566 alpha=90.00 beta=90.00 gamma=89.96
Atoms (fractional coordinates):
Pb: 0.5000 0.5000 0.2500
Pt: 0.5000 0.5000 0.7500
Si: 0.0000 0.0000 0.9326
Si: 0.0000 0.0000 0.5674

=====

(10)
DFT (GGA-PBE) results for crystalline La8PrHo2 at its relaxed geometry.

ΔH_f (0 K) = 0.096 eV per atom
Offset from the most stable computed form = 0 meV per atom

Unit cell a=5.7896 b=8.3749 c=9.6594 alpha=115.67 beta=107.44 gamma=90.00
Atoms (fractional coordinates):
La: 0.6376 0.8377 0.2753
La: 0.3626 0.5623 0.7253
La: 0.1632 0.1635 0.3265
La: 0.9999 0.2946 0.9998
La: 0.8368 0.8365 0.6735
La: 0.6374 0.4377 0.2747
La: 0.3624 0.1623 0.7247
La: 0.0001 0.7054 0.0002
Pr: 0.5000 0.0000 0.0000
Ho: 0.2012 0.7008 0.4024
Ho: 0.7988 0.2992 0.5976

=====

(11)
DFT (GGA-PBE) results for crystalline Ac3Ga2AgPd9 at its relaxed geometry.

ΔH_f (0 K) = -0.467 eV per atom

Unit cell a=7.5379 b=7.5379 c=6.8935 alpha=90.00 beta=90.00 gamma=120.00
Atoms (fractional coordinates):
Ac: 0.3333 0.6667 0.6582
Ac: 0.0000 0.0000 0.0000
Ac: 0.6667 0.3333 0.3418
Ga: 0.3333 0.6667 0.1495
Ga: 0.6667 0.3333 0.8505
Ag: 0.0000 0.0000 0.5000
Pd: 0.8247 0.1753 0.6746
Pd: 0.8247 0.6495 0.6746
Pd: 0.3505 0.1753 0.6746
Pd: 0.6495 0.8247 0.3254
Pd: 0.1753 0.3505 0.3254
Pd: 0.1753 0.8247 0.3254
Pd: 0.5000 0.0000 0.0000
Pd: 0.0000 0.5000 0.0000
Pd: 0.5000 0.5000 0.0000

=====

(12)
DFT (GGA-PBE) results for crystalline Na2ThBiO6 at its relaxed geometry.

Unit cell a=5.9092 b=6.0556 c=8.3935 alpha=90.00 beta=90.15 gamma=90.00
Site moments in Bohr magnetons follow the coordinates.
Atoms (fractional coordinates):
Na: 0.0082 0.9612 0.2527  0.00
Na: 0.5082 0.5388 0.7527  0.00
Na: 0.9918 0.0388 0.7473  0.00
Na: 0.4918 0.4612 0.2473  0.00
Th: 0.5000 0.0000 0.0000  0.02
Th: 0.0000 0.5000 0.5000  0.02
Bi: 0.5000 0.0000 0.5000  -0.01
Bi: 0.0000 0.5000 0.0000  -0.01
O: 0.2935 0.6933 0.0532  0.11
O: 0.7935 0.8067 0.5532  0.11
O: 0.7065 0.3067 0.9468  0.11
O: 0.2065 0.1933 0.4468  0.11
O: 0.3130 0.7100 0.4406  0.14
O: 0.8130 0.7900 0.9406  0.14
O: 0.6870 0.2900 0.5594  0.14
O: 0.1870 0.2100 0.0594  0.14
O: 0.8899 0.5482 0.2409  0.13
O: 0.3899 0.9518 0.7409  0.13
O: 0.1101 0.4518 0.7591  0.13
O: 0.6101 0.0482 0.2591  0.13

=====

Total moment (computed, μB/f.u.): 0.0; 0.9; 0.0; 0.6; 0.8; 4.6; 0.0; 0.0; 0.0; 0.0; 0.0; 0.9
Energy (computed, eV/atom): -6.12; -7.48; -4.04; -4.16; -5.56; -3.27; -4.16; -3.87; -5.09; -4.75; -5.00; -6.21